VASP calculation (GGA-PBE) on a relaxed structure of NdPuPtAu.

abc: 7.240 7.240 7.240
angles: 90.00 90.00 90.00
Space group F-43m (No. 216)
Symmetry-distinct sites (fractional):
Nd (0.000, 0.000, 0.000) x4
Pu (0.000, 0.000, 0.500) x4
Pt (0.250, 0.250, 0.750) x4
Au (0.250, 0.250, 0.250) x4

N(E_F) (states/eV/cell): 50.53
VASP energy (eV per atom): -7.812